Record 1
Zn2CuIr at its PBEsol-relaxed geometry, computed with meta-GGA SCAN.

Output
- crystal system = tetragonal

```
data_Zn2CuIr
_chemical_formula_sum 'Zn4 Cu2 Ir2'
_space_group_name_H-M_alt 'I 4/m m m'
_space_group_IT_number 139
_space_group_name_Hall '-I 4 2'
_cell_length_a 3.8635
_cell_length_b 3.8635
_cell_length_c 6.9501
_cell_angle_alpha 90.00
_cell_angle_beta 90.00
_cell_angle_gamma 90.00
loop_
_atom_site_label
_atom_site_fract_x
_atom_site_fract_y
_atom_site_fract_z
_atom_site_occupancy
Zn1 0.0000 0.5000 0.2500 1
Cu1 0.0000 0.0000 0.0000 1
Ir1 0.0000 0.0000 0.5000 1
```


Record 2
ZnCuIr at its PBEsol-relaxed geometry, computed with meta-GGA SCAN.

Output
- crystal system = trigonal

```
data_ZnCuIr
_chemical_formula_sum 'Zn1 Cu1 Ir1'
_space_group_name_H-M_alt 'P 3 m 1'
_space_group_IT_number 156
_space_group_name_Hall 'P 3 -2"'
_cell_length_a 2.6916
_cell_length_b 2.6916
_cell_length_c 6.2522
_cell_angle_alpha 90.00
_cell_angle_beta 90.00
_cell_angle_gamma 120.00
loop_
_atom_site_label
_atom_site_fract_x
_atom_site_fract_y
_atom_site_fract_z
_atom_site_occupancy
Zn1 0.0000 0.0000 0.0000 1
Cu1 0.6667 0.3333 0.6790 1
Ir1 0.3333 0.6667 0.3391 1
```


Record 3
ZnCu2Ir at its PBEsol-relaxed geometry, computed with meta-GGA SCAN.

Output
- crystal system = tetragonal

```
data_ZnCu2Ir
_chemical_formula_sum 'Zn2 Cu4 Ir2'
_space_group_name_H-M_alt 'I -4 m 2'
_space_group_IT_number 119
_space_group_name_Hall 'I -4 -2'
_cell_length_a 3.7687
_cell_length_b 3.7687
_cell_length_c 7.0641
_cell_angle_alpha 90.00
_cell_angle_beta 90.00
_cell_angle_gamma 90.00
loop_
_atom_site_label
_atom_site_fract_x
_atom_site_fract_y
_atom_site_fract_z
_atom_site_occupancy
Zn1 0.0000 0.0000 0.0000 1
Cu1 0.0000 0.0000 0.5000 1
Cu2 0.0000 0.5000 0.2500 1
Ir1 0.0000 0.5000 0.7500 1
```


Record 4
Zn2CuIr at its PBEsol-relaxed geometry, computed with meta-GGA SCAN.

Output
- crystal system = tetragonal

```
data_Zn2CuIr
_chemical_formula_sum 'Zn2 Cu1 Ir1'
_space_group_name_H-M_alt 'P 4/m m m'
_space_group_IT_number 123
_space_group_name_Hall '-P 4 2'
_cell_length_a 3.0279
_cell_length_b 3.0279
_cell_length_c 5.6230
_cell_angle_alpha 90.00
_cell_angle_beta 90.00
_cell_angle_gamma 90.00
loop_
_atom_site_label
_atom_site_fract_x
_atom_site_fract_y
_atom_site_fract_z
_atom_site_occupancy
Zn1 0.0000 0.0000 0.2426 1
Cu1 0.5000 0.5000 0.0000 1
Ir1 0.5000 0.5000 0.5000 1
```


Sequential M_tot output: 0.0, 0.0, 0.0, 0.0 μB per formula unit
Sequential E_form output: -0.1924, -0.0496, -0.0319, -0.1627 eV per atom
Sequential calculated density output: 12.4, 13.6, 12.7, 12.5 g/cm3